Record 1
VASP calculation (GGA-PBEsol) on InNi2Au after structural relaxation.

Cell lengths 4.741, 4.741, 4.741 Å; angles 132.51, 132.51, 69.42 degrees
Fractional positions:
In  0.000  0.000  0.000
Ni  0.250  0.750  0.500
Ni  0.500  0.500  0.000
Au  0.750  0.250  0.500

Values from the calculation:
* symmetry: No. 119
* E_form: -0.28 eV/f.u.

Record 2
VASP calculation (GGA-PBEsol) on InNi2Au after structural relaxation.

Cell lengths 4.336, 4.336, 4.336 Å; angles 60.00, 60.00, 60.00 degrees
Fractional positions:
In  0.000  0.000  0.000
Ni  0.500  0.500  0.500
Ni  0.750  0.750  0.750
Au  0.250  0.250  0.250

Values from the calculation:
* symmetry: No. 216
* E_form: 0.04 eV/f.u.

Record 3
VASP calculation (GGA-PBEsol) on InNi2Au after structural relaxation.

Cell lengths 4.462, 4.462, 4.462 Å; angles 125.67, 125.67, 80.44 degrees
Fractional positions:
In  0.000  0.000  0.000
Ni  0.250  0.750  0.500
Ni  0.750  0.250  0.500
Au  0.500  0.500  0.000

Values from the calculation:
* symmetry: No. 139
* E_form: -0.47 eV/f.u.

Record 4
VASP calculation (GGA-PBEsol) on InNiAu3 after structural relaxation.

Cell lengths 4.705, 4.705, 4.705 Å; angles 90.00, 90.00, 90.00 degrees
Fractional positions:
In  0.000  0.000  0.000
Ni  0.500  0.500  0.500
Au  0.000  0.500  0.500
Au  0.500  0.000  0.500
Au  0.500  0.500  0.000

Values from the calculation:
* symmetry: No. 221
* E_form: 2.58 eV/f.u.

Record 5
VASP calculation (GGA-PBEsol) on In2Ni2Au after structural relaxation.

Cell lengths 6.868, 6.868, 3.330 Å; angles 90.00, 90.00, 90.00 degrees
Fractional positions:
In  0.167  0.333  0.000
In  0.333  0.833  0.000
In  0.667  0.167  0.000
In  0.833  0.667  0.000
Ni  0.130  0.630  0.500
Ni  0.370  0.130  0.500
Ni  0.630  0.870  0.500
Ni  0.870  0.370  0.500
Au  0.000  0.000  0.500
Au  0.500  0.500  0.500

Values from the calculation:
* symmetry: No. 127
* E_form: -0.73 eV/f.u.

Record 6
VASP calculation (GGA-PBEsol) on InNi2SbAu after structural relaxation.

Cell lengths 4.708, 4.708, 4.943 Å; angles 90.00, 90.00, 90.00 degrees
Fractional positions:
In  0.000  0.000  0.000
Ni  0.000  0.500  0.500
Ni  0.500  0.000  0.500
Sb  0.500  0.500  0.000
Au  0.000  0.000  0.500

Values from the calculation:
* symmetry: No. 123
* raw formation energy: 0.84 eV per atom

Record 7
VASP calculation (GGA-PBEsol) on InPtAu2O after structural relaxation.

Cell lengths 5.114, 5.114, 3.762 Å; angles 90.00, 90.00, 90.00 degrees
Fractional positions:
In  0.000  0.000  0.000
Pt  0.500  0.500  0.500
Au  0.000  0.500  0.000
Au  0.500  0.000  0.000
O  0.000  0.000  0.500

Values from the calculation:
* symmetry: No. 123
* raw formation energy: 0.68 eV per atom

Record 8
VASP calculation (GGA-PBEsol) on InOs3Au after structural relaxation.

Cell lengths 4.741, 4.741, 4.741 Å; angles 90.00, 90.00, 90.00 degrees
Fractional positions:
In  0.000  0.000  0.000
Os  0.000  0.000  0.500
Os  0.000  0.500  0.000
Os  0.500  0.000  0.000
Au  0.500  0.500  0.500

Values from the calculation:
* symmetry: No. 221
* E_form: 15.78 eV/f.u.

Record 9
VASP calculation (GGA-PBEsol) on InOsAu after structural relaxation.

Cell lengths 5.122, 5.122, 5.122 Å; angles 148.49, 133.54, 57.22 degrees
Fractional positions:
In  0.000  0.000  0.000
Os  0.661  0.661  0.000
Au  0.326  0.326  0.000

Values from the calculation:
* symmetry: No. 44
* E_form: 1.65 eV/f.u.

Record 10
VASP calculation (GGA-PBEsol) on In3OsAu after structural relaxation.

Cell lengths 5.061, 5.061, 5.061 Å; angles 90.00, 90.00, 90.00 degrees
Fractional positions:
In  0.000  0.000  0.500
In  0.000  0.500  0.000
In  0.500  0.000  0.000
Os  0.500  0.500  0.500
Au  0.000  0.000  0.000

Values from the calculation:
* symmetry: No. 221
* E_form: 6.36 eV/f.u.

Record 11
VASP calculation (GGA-PBEsol) on InPAuS2 after structural relaxation.

Cell lengths 4.342, 4.342, 5.416 Å; angles 90.00, 90.00, 90.00 degrees
Fractional positions:
In  0.000  0.000  0.000
P  0.000  0.000  0.500
Au  0.500  0.500  0.000
S  0.000  0.500  0.500
S  0.500  0.000  0.500

Values from the calculation:
* symmetry: No. 123
* raw formation energy: 0.44 eV per atom

Record 12
VASP calculation (GGA-PBEsol) on InPbAu2 after structural relaxation.

Cell lengths 3.364, 3.502, 7.246 Å; angles 90.00, 90.07, 90.00 degrees
Fractional positions:
In  0.000  0.000  0.000
Pb  0.000  0.000  0.500
Au  0.500  0.500  0.222
Au  0.500  0.500  0.778

Values from the calculation:
* symmetry: No. 10
* E_form: -0.18 eV/f.u.

Record 13
VASP calculation (GGA-PBEsol) on InPbAu2 after structural relaxation.

Cell lengths 3.749, 4.432, 5.570 Å; angles 90.00, 109.15, 90.00 degrees
Fractional positions:
In  0.000  0.000  0.000
Pb  0.711  0.500  0.423
Au  0.266  0.000  0.543
Au  0.447  0.500  0.885

Values from the calculation:
* symmetry: No. 6
* E_form: -0.52 eV/f.u.

Record 14
VASP calculation (GGA-PBEsol) on InPbAu after structural relaxation.

Cell lengths 4.633, 4.633, 3.969 Å; angles 90.00, 90.00, 120.00 degrees
Fractional positions:
In  0.000  0.000  0.000
Pb  0.333  0.667  0.466
Au  0.667  0.333  0.827

Values from the calculation:
* symmetry: No. 156
* E_form: -0.12 eV/f.u.

Record 15
VASP calculation (GGA-PBEsol) on InPbAu2 after structural relaxation.

Cell lengths 4.412, 4.412, 6.290 Å; angles 105.11, 105.11, 51.13 degrees
Fractional positions:
In  0.000  0.000  0.000
Pb  0.500  0.500  0.500
Au  0.255  0.255  0.776
Au  0.745  0.745  0.224

Values from the calculation:
* symmetry: No. 12
* E_form: -0.25 eV/f.u.

Record 16
VASP calculation (GGA-PBEsol) on InPbAu2 after structural relaxation.

Cell lengths 6.051, 6.051, 6.051 Å; angles 150.05, 128.01, 61.16 degrees
Fractional positions:
In  0.000  0.000  0.000
Pb  0.289  0.789  0.500
Au  0.541  0.541  0.000
Au  0.765  0.265  0.500

Values from the calculation:
* symmetry: No. 44
* E_form: -0.07 eV/f.u.

Record 17
VASP calculation (GGA-PBEsol) on In2PbAu2 after structural relaxation.

Cell lengths 6.941, 6.941, 6.941 Å; angles 143.88, 143.88, 52.01 degrees
Fractional positions:
In  0.250  0.750  0.500
In  0.750  0.250  0.500
Pb  0.000  0.000  0.000
Au  0.393  0.393  0.000
Au  0.607  0.607  0.000

Values from the calculation:
* symmetry: No. 139
* E_form: -0.46 eV/f.u.

Record 18
VASP calculation (GGA-PBEsol) on InPbAu2 after structural relaxation.

Cell lengths 7.308, 7.308, 7.308 Å; angles 31.29, 31.29, 31.29 degrees
Fractional positions:
In  0.000  0.000  0.000
Pb  0.500  0.500  0.500
Au  0.255  0.255  0.255
Au  0.745  0.745  0.745

Values from the calculation:
* symmetry: No. 166
* E_form: -0.23 eV/f.u.

Record 19
VASP calculation (GGA-PBEsol) on InPd2Au2 after structural relaxation.

Cell lengths 7.193, 7.193, 7.193 Å; angles 150.14, 150.14, 42.74 degrees
Fractional positions:
In  0.000  0.000  0.000
Pd  0.404  0.404  0.000
Pd  0.596  0.596  0.000
Au  0.250  0.750  0.500
Au  0.750  0.250  0.500

Values from the calculation:
* symmetry: No. 139
* E_form: -0.15 eV/f.u.

Record 20
VASP calculation (GGA-PBEsol) on Pr2InAu2 after structural relaxation.

Cell lengths 7.991, 7.991, 3.896 Å; angles 90.00, 90.00, 90.00 degrees
Fractional positions:
Pr  0.173  0.327  0.000
Pr  0.327  0.827  0.000
Pr  0.673  0.173  0.000
Pr  0.827  0.673  0.000
In  0.000  0.000  0.500
In  0.500  0.500  0.500
Au  0.127  0.627  0.500
Au  0.373  0.127  0.500
Au  0.627  0.873  0.500
Au  0.873  0.373  0.500

Values from the calculation:
* symmetry: No. 127
* E_form: -3.83 eV/f.u.

Record 21
VASP calculation (GGA-PBEsol) on PrIn4Au2 after structural relaxation.

Cell lengths 18.427, 4.631, 7.364 Å; angles 90.00, 90.00, 90.00 degrees
Fractional positions:
Pr  0.142  0.250  0.023
Pr  0.358  0.750  0.523
Pr  0.642  0.250  0.477
Pr  0.858  0.750  0.977
In  0.035  0.750  0.858
In  0.067  0.250  0.483
In  0.185  0.750  0.323
In  0.188  0.750  0.733
In  0.312  0.250  0.233
In  0.315  0.250  0.823
In  0.433  0.750  0.983
In  0.465  0.250  0.358
In  0.535  0.750  0.642
In  0.567  0.250  0.017
In  0.685  0.750  0.177
In  0.688  0.750  0.767
In  0.812  0.250  0.267
In  0.815  0.250  0.677
In  0.933  0.750  0.517
In  0.965  0.250  0.142
Au  0.038  0.750  0.245
Au  0.217  0.250  0.532
Au  0.283  0.750  0.032
Au  0.462  0.250  0.745
Au  0.538  0.750  0.255
Au  0.717  0.250  0.968
Au  0.783  0.750  0.468
Au  0.962  0.250  0.755

Values from the calculation:
* symmetry: No. 62
* E_form: -3.35 eV/f.u.

Record 22
VASP calculation (GGA-PBEsol) on In2PtAu after structural relaxation.

Cell lengths 4.606, 4.606, 3.449 Å; angles 90.00, 90.00, 90.00 degrees
Fractional positions:
In  0.000  0.500  0.000
In  0.500  0.000  0.000
Pt  0.000  0.000  0.500
Au  0.500  0.500  0.500

Values from the calculation:
* symmetry: No. 123
* E_form: -0.89 eV/f.u.

Record 23
VASP calculation (GGA-PBEsol) on PuInAu2 after structural relaxation.

Cell lengths 4.901, 4.901, 4.901 Å; angles 60.00, 60.00, 60.00 degrees
Fractional positions:
Pu  0.000  0.000  0.000
In  0.500  0.500  0.500
Au  0.250  0.250  0.250
Au  0.750  0.750  0.750

Values from the calculation:
* symmetry: No. 225
* E_form: -1.02 eV/f.u.

Record 24
VASP calculation (GGA-PBEsol) on Rb2InAu2 after structural relaxation.

Cell lengths 7.406, 7.406, 5.405 Å; angles 90.00, 90.00, 90.00 degrees
Fractional positions:
Rb  0.171  0.329  0.000
Rb  0.329  0.829  0.000
Rb  0.671  0.171  0.000
Rb  0.829  0.671  0.000
In  0.000  0.000  0.500
In  0.500  0.500  0.500
Au  0.134  0.634  0.500
Au  0.366  0.134  0.500
Au  0.634  0.866  0.500
Au  0.866  0.366  0.500

Values from the calculation:
* symmetry: No. 127
* E_form: -0.67 eV/f.u.

Record 25
VASP calculation (GGA-PBEsol) on RbIn2Au2 after structural relaxation.

Cell lengths 6.641, 6.641, 6.641 Å; angles 137.92, 137.92, 61.03 degrees
Fractional positions:
Rb  0.000  0.000  0.000
In  0.250  0.750  0.500
In  0.750  0.250  0.500
Au  0.380  0.380  0.000
Au  0.620  0.620  0.000

Values from the calculation:
* symmetry: No. 139
* E_form: -1.17 eV/f.u.

Record 26
VASP calculation (GGA-PBEsol) on RbIn6Au4 after structural relaxation.

Cell lengths 8.082, 8.082, 4.450 Å; angles 90.00, 90.00, 120.00 degrees
Fractional positions:
Rb  0.000  0.000  0.000
In  0.069  0.534  0.000
In  0.393  0.197  0.500
In  0.466  0.534  0.000
In  0.466  0.931  0.000
In  0.803  0.197  0.500
In  0.803  0.607  0.500
Au  0.207  0.414  0.500
Au  0.207  0.793  0.500
Au  0.586  0.793  0.500
Au  0.667  0.333  0.000

Values from the calculation:
* symmetry: No. 187
* E_form: -3.02 eV/f.u.

Record 27
VASP calculation (GGA-PBEsol) on RbIn2Au4 after structural relaxation.

Cell lengths 7.461, 7.461, 7.461 Å; angles 108.14, 108.14, 112.18 degrees
Fractional positions:
Rb  0.250  0.250  0.000
Rb  0.750  0.750  0.000
In  0.145  0.645  0.789
In  0.355  0.145  0.500
In  0.645  0.855  0.500
In  0.855  0.355  0.211
Au  0.015  0.815  0.500
Au  0.185  0.685  0.200
Au  0.315  0.515  0.500
Au  0.485  0.985  0.800
Au  0.515  0.015  0.200
Au  0.685  0.485  0.500
Au  0.815  0.315  0.800
Au  0.985  0.185  0.500

Values from the calculation:
* symmetry: No. 140
* E_form: -1.73 eV/f.u.

Number 1: magnetization 0.000 μB/atom. Number 2: magnetization 0.000 μB/atom. Number 3: magnetization 0.000 μB/atom. Number 4: magnetization 0.017 μB/atom. Number 5: magnetization 0.000 μB/atom. Number 6: magnetization 0.100 μB/atom. Number 7: magnetization 0.000 μB/atom. Number 8: magnetization 0.649 μB/atom. Number 9: magnetization 0.000 μB/atom. Number 10: magnetization 0.452 μB/atom. Number 11: magnetization 0.000 μB/atom. Number 12: magnetization 0.000 μB/atom. Number 13: magnetization 0.000 μB/atom. Number 14: magnetization 0.000 μB/atom. Number 15: magnetization 0.000 μB/atom. Number 16: magnetization 0.000 μB/atom. Number 17: magnetization 0.000 μB/atom. Number 18: magnetization 0.000 μB/atom. Number 19: magnetization 0.000 μB/atom. Number 20: magnetization 0.000 μB/atom. Number 21: magnetization 0.000 μB/atom. Number 22: magnetization 0.000 μB/atom. Number 23: magnetization 1.326 μB/atom. Number 24: magnetization 0.000 μB/atom. Number 25: magnetization 0.000 μB/atom. Number 26: magnetization 0.000 μB/atom. Number 27: magnetization 0.000 μB/atom.